# NaMnBiWO6 (GGA+U, relaxed)
# - DFT total energy (eV/atom) = -6.55
# - DOS at the Fermi energy (states/eV per cell) = 10.002
data_NaMnBiWO6
_chemical_formula_sum 'Na4 Mn4 Bi4 W4 O24'
_cell_length_a 8.060
_cell_length_b 8.060
_cell_length_c 8.060
_cell_angle_alpha 90.00
_cell_angle_beta 90.00
_cell_angle_gamma 90.00
_space_group_name_H-M_alt 'F -4 3 m'
_space_group_IT_number 216
_space_group_name_Hall 'F -4 2 3'
loop_
_atom_site_label
_atom_site_type_symbol
_atom_site_fract_x
_atom_site_fract_y
_atom_site_fract_z
Na1 Na 0.000 0.000 0.000
Mn1 Mn 0.250 0.250 0.250
Bi1 Bi 0.000 0.000 0.500
W1 W 0.250 0.250 0.750
O1 O 0.010 0.250 0.750